Entry 1:
A plane-wave DFT calculation with PBE was carried out for a relaxed structure of Cs7Rb12S.

Results
- DOS(E_F) (states/eV/f.u.) = 16.0
- calculated total energy (eV/atom) = -1.1773
- uncorrected formation energy (eV/atom) = -0.09

Cell and atoms, written as POSCAR:
```
Cs7Rb12S
1.0
13.074 7.548 3.149
-13.074 7.548 3.149
0.000 -15.097 3.149
Cs Rb S
7 12 1
Direct
0.000 0.000 0.000 Cs
0.208 0.416 0.416 Cs
0.416 0.208 0.416 Cs
0.416 0.416 0.208 Cs
0.584 0.584 0.792 Cs
0.584 0.792 0.584 Cs
0.792 0.584 0.584 Cs
0.000 0.407 0.593 Rb
0.000 0.593 0.407 Rb
0.005 0.005 0.360 Rb
0.005 0.360 0.005 Rb
0.360 0.005 0.005 Rb
0.407 0.000 0.593 Rb
0.407 0.593 0.000 Rb
0.593 0.000 0.407 Rb
0.593 0.407 0.000 Rb
0.640 0.995 0.995 Rb
0.995 0.640 0.995 Rb
0.995 0.995 0.640 Rb
0.500 0.500 0.500 S
```

---

Entry 2:
A plane-wave DFT calculation with PBE was carried out for a relaxed structure of LiTlCu2.

Results
- DOS(E_F) (states/eV/f.u.) = 1.1
- calculated total energy (eV/atom) = -2.7754
- energy relative to the elements (eV/atom) = 0.34

Cell and atoms, written as POSCAR:
```
LiTlCu2
1.0
1.627 0.939 7.851
-1.627 0.939 7.851
0.000 -1.879 7.851
Li Tl Cu
1 1 2
Direct
0.000 0.000 0.000 Li
0.500 0.500 0.500 Tl
0.254 0.254 0.254 Cu
0.746 0.746 0.746 Cu
```

---

Entry 3:
A plane-wave DFT calculation with PBE was carried out for a relaxed structure of Th2InAg3.

Results
- DOS(E_F) (states/eV/f.u.) = 5.5
- calculated total energy (eV/atom) = -4.4216
- energy relative to the elements (eV/atom) = -0.07

Cell and atoms, written as POSCAR:
```
Th2InAg3
1.0
-1.735 2.442 8.891
1.735 -2.442 8.891
1.735 2.442 -8.891
Th In Ag
2 1 3
Direct
0.000 0.000 0.000 Th
0.760 0.260 0.500 Th
0.595 0.595 0.000 In
0.168 0.668 0.500 Ag
0.322 0.822 0.500 Ag
0.438 0.438 0.000 Ag
```

---

Entry 4:
A plane-wave DFT calculation with PBE was carried out for a relaxed structure of Ho3Ge2Pd.

Results
- DOS(E_F) (states/eV/f.u.) = 3.8
- calculated total energy (eV/atom) = -5.5747
- energy relative to the elements (eV/atom) = -0.88

Cell and atoms, written as POSCAR:
```
Ho3Ge2Pd
1.0
11.528 0.000 0.000
0.000 4.283 0.000
0.000 0.000 11.228
Ho Ge Pd
12 8 4
Direct
0.052 0.250 0.128 Ho
0.124 0.750 0.561 Ho
0.219 0.250 0.806 Ho
0.281 0.750 0.306 Ho
0.376 0.250 0.061 Ho
0.448 0.750 0.628 Ho
0.552 0.250 0.372 Ho
0.624 0.750 0.939 Ho
0.719 0.250 0.694 Ho
0.781 0.750 0.194 Ho
0.876 0.250 0.439 Ho
0.948 0.750 0.872 Ho
0.009 0.750 0.311 Ge
0.185 0.750 0.006 Ge
0.315 0.250 0.506 Ge
0.491 0.250 0.811 Ge
0.509 0.750 0.189 Ge
0.685 0.750 0.494 Ge
0.815 0.250 0.994 Ge
0.991 0.250 0.689 Ge
0.128 0.250 0.373 Pd
0.372 0.750 0.873 Pd
0.628 0.250 0.127 Pd
0.872 0.750 0.627 Pd
```

---

Entry 5:
A plane-wave DFT calculation with PBE was carried out for a relaxed structure of Er2Tm5CdRu2.

Results
- DOS(E_F) (states/eV/f.u.) = 10.0
- calculated total energy (eV/atom) = -5.4125
- energy relative to the elements (eV/atom) = -0.32

Cell and atoms, written as POSCAR:
```
Er2Tm5CdRu2
1.0
11.545 0.000 0.000
0.000 11.545 0.000
0.000 0.000 3.850
Er Tm Cd Ru
4 10 2 4
Direct
0.184 0.316 0.000 Er
0.316 0.816 0.000 Er
0.684 0.184 0.000 Er
0.816 0.684 0.000 Er
0.000 0.500 0.500 Tm
0.063 0.787 0.500 Tm
0.213 0.063 0.500 Tm
0.287 0.563 0.500 Tm
0.437 0.287 0.500 Tm
0.500 0.000 0.500 Tm
0.563 0.713 0.500 Tm
0.713 0.437 0.500 Tm
0.787 0.937 0.500 Tm
0.937 0.213 0.500 Tm
0.000 0.000 0.000 Cd
0.500 0.500 0.000 Cd
0.129 0.629 0.000 Ru
0.371 0.129 0.000 Ru
0.629 0.871 0.000 Ru
0.871 0.371 0.000 Ru
```

---

Entry 6:
A plane-wave DFT calculation with PBE was carried out for a relaxed structure of CaSc2NiPd.

Results
- DOS(E_F) (states/eV/f.u.) = 4.7
- calculated total energy (eV/atom) = -5.0728
- energy relative to the elements (eV/atom) = 0.05

Cell and atoms, written as POSCAR:
```
CaSc2NiPd
1.0
4.960 0.000 0.000
0.000 4.960 0.000
0.000 0.000 4.981
Ca Sc Ni Pd
1 2 1 1
Direct
0.000 0.000 0.000 Ca
0.000 0.500 0.500 Sc
0.500 0.000 0.500 Sc
0.500 0.500 0.000 Ni
0.500 0.500 0.500 Pd
```